## Tl2ZnCu (PBE)

Data for an optimized crystal structure of Tl2ZnCu.

POSCAR file:
```
Tl2ZnCu
1.0
4.179 0.000 0.000
0.000 4.179 0.000
0.000 0.000 10.193
Tl Zn Cu
4 2 2
Direct
0.000 0.000 0.000
0.000 0.500 0.250
0.500 0.000 0.750
0.500 0.500 0.500
0.000 0.500 0.750
0.500 0.000 0.250
0.000 0.000 0.500
0.500 0.500 0.000
```

- Density of states at the Fermi level: 3.6 states/eV/cell
- Symmetry: I-4m2 (119)
- ΔE_f: 7.4 kcal/mol of atoms
- Offset from the most stable computed form: 0.72 eV/f.u.
- Total magnetic moment: 0.00 μB per atom